# MgSiOs | the Alexandria database | GGA-PBE | optimized geometry
# density of states at the Fermi level = 3.18 states/eV/cell
# formation energy from raw total energies = -0.22 eV per atom
# M_tot = 0.0 μB/cell
data_MgSiOs
_symmetry_space_group_name_H-M 'C m c m'
_symmetry_Int_Tables_number 63
_symmetry_space_group_name_Hall '-C 2c 2'
_cell_length_a 3.160
_cell_length_b 13.633
_cell_length_c 4.239
_cell_angle_alpha 90.00
_cell_angle_beta 90.00
_cell_angle_gamma 90.00
loop_
_atom_site_label
_atom_site_type_symbol
_atom_site_fract_x
_atom_site_fract_y
_atom_site_fract_z
Mg1 Mg 0.000 0.062 0.250
Si1 Si 0.000 0.267 0.750
Os1 Os 0.000 0.366 0.250



# Nb2Cu2Bi | the Alexandria database | GGA-PBE | optimized geometry
# density of states at the Fermi level = 8.04 states/eV/cell
# calculated total energy = -0.4430 Ry/atom
# M_tot = 0.0 μB/cell
data_Nb2Cu2Bi
_symmetry_space_group_name_H-M 'P 4/m b m'
_symmetry_Int_Tables_number 127
_symmetry_space_group_name_Hall '-P 4 2ab'
_cell_length_a 7.631
_cell_length_b 7.631
_cell_length_c 3.153
_cell_angle_alpha 90.00
_cell_angle_beta 90.00
_cell_angle_gamma 90.00
loop_
_atom_site_label
_atom_site_type_symbol
_atom_site_fract_x
_atom_site_fract_y
_atom_site_fract_z
Nb1 Nb 0.125 0.375 0.000
Cu1 Cu 0.168 0.668 0.500
Bi1 Bi 0.000 0.000 0.000



# AlCoGeRh | the Alexandria database | GGA-PBE | optimized geometry
# density of states at the Fermi level = 6.11 states/eV/cell
# calculated total energy = -0.4540 Ry/atom
# M_tot = 4.0 μB/cell
data_AlCoGeRh
_symmetry_space_group_name_H-M 'F -4 3 m'
_symmetry_Int_Tables_number 216
_symmetry_space_group_name_Hall 'F -4 2 3'
_cell_length_a 5.947
_cell_length_b 5.947
_cell_length_c 5.947
_cell_angle_alpha 90.00
_cell_angle_beta 90.00
_cell_angle_gamma 90.00
loop_
_atom_site_label
_atom_site_type_symbol
_atom_site_fract_x
_atom_site_fract_y
_atom_site_fract_z
Al1 Al 0.000 0.000 0.000
Co1 Co 0.250 0.250 0.750
Ge1 Ge 0.000 0.000 0.500
Rh1 Rh 0.250 0.250 0.250



# Y2Er15Th2 | the Alexandria database | GGA-PBE | optimized geometry
# density of states at the Fermi level = 89.62 states/eV/cell
# calculated total energy = -0.3513 Ry/atom
# M_tot = 0.0 μB/cell
data_Y2Er15Th2
_symmetry_space_group_name_H-M 'R -3 m'
_symmetry_Int_Tables_number 166
_symmetry_space_group_name_Hall '-R 3 2"'
_cell_length_a 11.0301
_cell_length_b 11.0301
_cell_length_c 17.6693
_cell_angle_alpha 90.00
_cell_angle_beta 90.00
_cell_angle_gamma 120.00
loop_
_atom_site_label
_atom_site_type_symbol
_atom_site_fract_x
_atom_site_fract_y
_atom_site_fract_z
Y1 Y 0.0000 0.0000 0.1821
Er1 Er 0.0000 0.3014 0.5000
Er2 Er 0.0000 0.5000 0.0000
Er3 Er 0.0081 0.5040 0.6371
Th1 Th 0.0000 0.0000 0.4109



# InMoW2 | the Alexandria database | GGA-PBE | optimized geometry
# density of states at the Fermi level = 3.75 states/eV/cell
# calculated total energy = -0.7006 Ry/atom
# M_tot = 0.0 μB/cell
data_InMoW2
_symmetry_space_group_name_H-M 'C m m m'
_symmetry_Int_Tables_number 65
_symmetry_space_group_name_Hall '-C 2 2'
_cell_length_a 3.226
_cell_length_b 4.650
_cell_length_c 9.200
_cell_angle_alpha 90.00
_cell_angle_beta 90.00
_cell_angle_gamma 90.00
loop_
_atom_site_label
_atom_site_type_symbol
_atom_site_fract_x
_atom_site_fract_y
_atom_site_fract_z
In1 In 0.000 0.000 0.000
Mo1 Mo 0.000 0.000 0.500
W1 W 0.000 0.500 0.265



# ScRePt2 | the Alexandria database | GGA-PBE | optimized geometry
# density of states at the Fermi level = 6.63 states/eV/cell
# calculated total energy = -0.5907 Ry/atom
# M_tot = 0.0 μB/cell
data_ScRePt2
_symmetry_space_group_name_H-M 'C 1 2/m 1'
_symmetry_Int_Tables_number 12
_cell_length_a 9.345
_cell_length_b 2.814
_cell_length_c 5.008
_cell_angle_alpha 90.00
_cell_angle_beta 99.50
_cell_angle_gamma 90.00
loop_
_symmetry_equiv_pos_as_xyz
'x,y,z'
'-x,-y,-z'
'-x,y,-z'
'x,-y,z'
'x+1/2,y+1/2,z'
'-x+1/2,-y+1/2,-z'
'-x+1/2,y+1/2,-z'
'x+1/2,-y+1/2,z'
loop_
_atom_site_label
_atom_site_type_symbol
_atom_site_fract_x
_atom_site_fract_y
_atom_site_fract_z
Sc1 Sc 0.000 0.000 0.000
Re1 Re 0.000 0.500 0.500
Pt1 Pt 0.245 0.000 0.738



# Ba3Bi5Se12 | the Alexandria database | GGA-PBE | optimized geometry
# density of states at the Fermi level = 80.32 states/eV/cell
# formation energy from raw total energies = -0.75 eV per atom
# M_tot = 0.0 μB/cell
data_Ba3Bi5Se12
_symmetry_space_group_name_H-M 'I a -3 d'
_symmetry_Int_Tables_number 230
_symmetry_space_group_name_Hall '-I 4bd 2c 3'
_cell_length_a 17.865
_cell_length_b 17.865
_cell_length_c 17.865
_cell_angle_alpha 90.00
_cell_angle_beta 90.00
_cell_angle_gamma 90.00
loop_
_atom_site_label
_atom_site_type_symbol
_atom_site_fract_x
_atom_site_fract_y
_atom_site_fract_z
Ba1 Ba 0.000 0.250 0.125
Bi1 Bi 0.000 0.000 0.000
Bi2 Bi 0.000 0.250 0.375
Se1 Se 0.024 0.060 0.650



# CaSmTlRh | the Alexandria database | GGA-PBE | optimized geometry
# density of states at the Fermi level = 13.85 states/eV/cell
# calculated total energy = -0.3299 Ry/atom
# M_tot = 0.0 μB/cell
data_CaSmTlRh
_symmetry_space_group_name_H-M 'F -4 3 m'
_symmetry_Int_Tables_number 216
_symmetry_space_group_name_Hall 'F -4 2 3'
_cell_length_a 7.320
_cell_length_b 7.320
_cell_length_c 7.320
_cell_angle_alpha 90.00
_cell_angle_beta 90.00
_cell_angle_gamma 90.00
loop_
_atom_site_label
_atom_site_type_symbol
_atom_site_fract_x
_atom_site_fract_y
_atom_site_fract_z
Ca1 Ca 0.000 0.000 0.000
Sm1 Sm 0.000 0.000 0.500
Tl1 Tl 0.250 0.250 0.750
Rh1 Rh 0.250 0.250 0.250



# RbTi2S | the Alexandria database | GGA-PBE | optimized geometry
# density of states at the Fermi level = 17.32 states/eV/cell
# formation energy from raw total energies = 0.23 eV per atom
# M_tot = 0.0 μB/cell
data_RbTi2S
_symmetry_space_group_name_H-M 'I 41/a m d'
_symmetry_Int_Tables_number 141
_cell_length_a 4.811
_cell_length_b 4.811
_cell_length_c 18.016
_cell_angle_alpha 90.00
_cell_angle_beta 90.00
_cell_angle_gamma 90.00
loop_
_symmetry_equiv_pos_as_xyz
'x,y,z'
'-x,-y,-z'
'-y+1/4,x+3/4,z+1/4'
'y+1/4,-x+3/4,-z+1/4'
'-x+1/2,-y,z+1/2'
'x+1/2,y,-z+1/2'
'y+1/4,-x+1/4,z+3/4'
'-y+1/4,x+1/4,-z+3/4'
'x,-y,-z'
'-x,y,z'
'-y+1/4,-x+1/4,-z+3/4'
'y+1/4,x+1/4,z+3/4'
'-x+1/2,y,-z+1/2'
'x+1/2,-y,z+1/2'
'y+1/4,x+3/4,-z+1/4'
'-y+1/4,-x+3/4,z+1/4'
'x+1/2,y+1/2,z+1/2'
'-x+1/2,-y+1/2,-z+1/2'
'-y+3/4,x+1/4,z+3/4'
'y+3/4,-x+1/4,-z+3/4'
'-x,-y+1/2,z'
'x,y+1/2,-z'
'y+3/4,-x+3/4,z+1/4'
'-y+3/4,x+3/4,-z+1/4'
'x+1/2,-y+1/2,-z+1/2'
'-x+1/2,y+1/2,z+1/2'
'-y+3/4,-x+3/4,-z+1/4'
'y+3/4,x+3/4,z+1/4'
'-x,y+1/2,-z'
'x,-y+1/2,z'
'y+3/4,x+1/4,-z+3/4'
'-y+3/4,-x+1/4,z+3/4'
loop_
_atom_site_label
_atom_site_type_symbol
_atom_site_fract_x
_atom_site_fract_y
_atom_site_fract_z
Rb1 Rb 0.000 0.250 0.375
Ti1 Ti 0.000 0.000 0.000
S1 S 0.000 0.250 0.875



# LaCrGe2I | the Alexandria database | GGA-PBE | optimized geometry
# density of states at the Fermi level = 3.51 states/eV/cell
# formation energy from raw total energies = -0.13 eV per atom
# M_tot = 1.6 μB/cell
data_LaCrGe2I
_symmetry_space_group_name_H-M 'P 4/m m m'
_symmetry_Int_Tables_number 123
_symmetry_space_group_name_Hall '-P 4 2'
_cell_length_a 4.686
_cell_length_b 4.686
_cell_length_c 5.598
_cell_angle_alpha 90.00
_cell_angle_beta 90.00
_cell_angle_gamma 90.00
loop_
_atom_site_label
_atom_site_type_symbol
_atom_site_fract_x
_atom_site_fract_y
_atom_site_fract_z
La1 La 0.000 0.000 0.000
Cr1 Cr 0.500 0.500 0.500
Ge1 Ge 0.000 0.500 0.500
I1 I 0.500 0.500 0.000



# Sn2AuCl | the Alexandria database | GGA-PBE | optimized geometry
# density of states at the Fermi level = 4.67 states/eV/cell
# formation energy from raw total energies = -0.29 eV per atom
# M_tot = 0.0 μB/cell
data_Sn2AuCl
_symmetry_space_group_name_H-M 'R 3 m'
_symmetry_Int_Tables_number 160
_symmetry_space_group_name_Hall 'R 3 -2"'
_cell_length_a 3.8832
_cell_length_b 3.8832
_cell_length_c 24.3988
_cell_angle_alpha 90.00
_cell_angle_beta 90.00
_cell_angle_gamma 120.00
loop_
_atom_site_label
_atom_site_type_symbol
_atom_site_fract_x
_atom_site_fract_y
_atom_site_fract_z
Sn1 Sn 0.0000 0.0000 0.0000
Sn2 Sn 0.0000 0.0000 0.1874
Au1 Au 0.0000 0.0000 0.5941
Cl1 Cl 0.0000 0.0000 0.4182



# TbDyTmTh | the Alexandria database | GGA-PBE | optimized geometry
# density of states at the Fermi level = 19.15 states/eV/cell
# calculated total energy = -0.3877 Ry/atom
# M_tot = 0.0 μB/cell
data_TbDyTmTh
_symmetry_space_group_name_H-M 'R 3 m'
_symmetry_Int_Tables_number 160
_symmetry_space_group_name_Hall 'R 3 -2"'
_cell_length_a 3.5759
_cell_length_b 3.5759
_cell_length_c 34.1227
_cell_angle_alpha 90.00
_cell_angle_beta 90.00
_cell_angle_gamma 120.00
loop_
_atom_site_label
_atom_site_type_symbol
_atom_site_fract_x
_atom_site_fract_y
_atom_site_fract_z
Tb1 Tb 0.0000 0.0000 0.0000
Dy1 Dy 0.0000 0.0000 0.2487
Tm1 Tm 0.0000 0.0000 0.8316
Th1 Th 0.0000 0.0000 0.4160